Arrangement a

Entry from Alexandria via LeMat-Bulk: a relaxed K2RbBiBr6 crystal (PBE).

Values from the calculation:
DOS at the Fermi energy (states/eV per cell): 0.00
Mass density (g/cm³): 3.35

POSCAR file:
```
K2RbBiBr6
1.0
-6.178 -1.623 -5.213
-3.939 -7.230 0.397
-8.054 -0.145 3.067
Br K Rb Bi
6 2 1 1
Direct
0.972 0.567 0.243
0.408 0.682 0.776
0.217 0.973 0.243
0.682 0.134 0.776
0.567 0.217 0.243
0.135 0.408 0.776
0.528 0.528 0.415
0.015 0.015 0.954
0.812 0.812 0.564
0.325 0.325 0.026
```



Arrangement b

Entry from Alexandria via LeMat-Bulk: a relaxed K2RbBiBr6 crystal (PBE).

Values from the calculation:
DOS at the Fermi energy (states/eV per cell): 0.00
Mass density (g/cm³): 3.12

POSCAR file:
```
K2RbBiBr6
1.0
0.000 6.098 6.098
6.098 0.000 6.098
6.098 6.098 0.000
Br Bi K Rb
6 1 2 1
Direct
0.766 0.234 0.234
0.766 0.766 0.234
0.766 0.234 0.766
0.234 0.234 0.766
0.234 0.766 0.766
0.234 0.766 0.234
0.000 0.000 0.000
0.250 0.250 0.250
0.750 0.750 0.750
0.500 0.500 0.500
```



Most stable to least stable: arrangement a, arrangement b



Arrangement a

Entry from Alexandria via LeMat-Bulk: a relaxed LaBiBr3 crystal (PBE).

Values from the calculation:
DOS at the Fermi energy (states/eV per cell): 14.43
Mass density (g/cm³): 4.84

POSCAR file:
```
LaBiBr3
1.0
5.865 0.000 0.000
0.000 5.865 0.000
0.000 0.000 5.865
Br La Bi
3 1 1
Direct
0.000 0.500 0.000
0.500 0.000 0.000
0.000 0.000 0.500
0.500 0.500 0.500
0.000 0.000 0.000
```



Arrangement b

Entry from Alexandria via LeMat-Bulk: a relaxed LaBiBr3 crystal (PBE).

Values from the calculation:
DOS at the Fermi energy (states/eV per cell): 0.00
Mass density (g/cm³): 4.69

POSCAR file:
```
LaBiBr3
1.0
-3.893 -2.300 3.831
2.160 -5.416 -1.057
3.911 0.702 4.396
Br La Bi
3 1 1
Direct
0.000 0.500 0.000
0.500 0.000 0.000
0.000 0.000 0.500
0.000 0.000 0.000
0.500 0.500 0.500
```



Most stable to least stable: arrangement b, arrangement a



Arrangement a

Entry from Alexandria via LeMat-Bulk: a relaxed LaBiSe2Br crystal (PBE).

Values from the calculation:
DOS at the Fermi energy (states/eV per cell): 7.10
Mass density (g/cm³): 5.62

POSCAR file:
```
LaBiSe2Br
1.0
-4.597 -0.692 -3.126
1.856 -5.032 -1.615
-2.567 -2.324 4.289
La Bi Se Br
1 1 2 1
Direct
0.500 0.500 0.500
0.000 0.000 0.000
0.500 0.000 0.000
0.000 0.500 0.000
0.000 0.000 0.500
```



Arrangement b

Entry from Alexandria via LeMat-Bulk: a relaxed LaBiSe2Br crystal (PBE).

Values from the calculation:
DOS at the Fermi energy (states/eV per cell): 2.02
Mass density (g/cm³): 5.12

POSCAR file:
```
LaBiSe2Br
1.0
5.814 0.000 0.000
0.000 5.814 0.000
0.000 0.000 5.625
Br Se Bi La
1 2 1 1
Direct
0.000 0.000 0.500
0.000 0.500 0.000
0.500 0.000 0.000
0.500 0.500 0.500
0.000 0.000 0.000
```



Most stable to least stable: arrangement b, arrangement a